[1]
26
Lattice="11.999 0.000 0.000 0.000 20.451 0.000 0.000 0.000 3.680" Properties=species:S:1:pos:R:3 comment="Ac2Sm6Er5 PBE relaxed" ef_mev_per_atom=116 volume_a3_per_atom=34.7 pbc="T T T"
Ac 1.935 4.503 0.000
Ac 4.065 14.729 0.000
Ac 7.934 5.723 0.000
Ac 10.065 15.948 0.000
Sm 0.696 18.906 0.000
Sm 0.919 13.022 0.000
Sm 2.160 7.791 1.840
Sm 3.839 18.017 1.840
Sm 5.080 2.796 0.000
Sm 5.304 8.680 0.000
Sm 6.695 11.771 0.000
Sm 6.919 17.655 0.000
Sm 8.160 2.434 1.840
Sm 9.839 12.660 1.840
Sm 11.080 7.430 0.000
Sm 11.303 1.546 0.000
Er 0.000 10.226 1.840
Er 1.198 15.972 1.840
Er 2.409 1.088 1.840
Er 3.591 11.314 1.840
Er 4.802 5.746 1.840
Er 6.000 0.000 1.840
Er 7.197 14.705 1.840
Er 8.409 9.138 1.840
Er 9.590 19.364 1.840
Er 10.802 4.479 1.840



[2]
12
Lattice="7.136 0.000 0.000 0.000 7.136 0.000 0.000 0.000 7.136" Properties=species:S:1:pos:R:3 comment="CaHoGa PBE relaxed" ef_mev_per_atom=-227 volume_a3_per_atom=30.3 pbc="T T T"
Ca 0.000 0.000 0.000
Ca 0.000 3.568 3.568
Ca 3.568 0.000 3.568
Ca 3.568 3.568 0.000
Ho 0.000 0.000 3.568
Ho 0.000 3.568 0.000
Ho 3.568 0.000 0.000
Ho 3.568 3.568 3.568
Ga 1.784 1.784 1.784
Ga 1.784 5.352 5.352
Ga 5.352 1.784 5.352
Ga 5.352 5.352 1.784



[3]
4
Lattice="4.742 0.000 0.000 0.000 3.367 0.000 -2.226 0.000 5.255" Properties=species:S:1:pos:R:3 comment="Sc2BeHg PBE relaxed" ef_mev_per_atom=84 volume_a3_per_atom=21.0 pbc="T T T"
Sc 0.000 0.000 0.000
Sc -1.113 1.683 2.627
Be 1.258 0.000 2.627
Hg 2.371 1.683 0.000



[4]
10
Lattice="5.853 -2.590 0.000 5.853 2.590 0.000 -2.144 0.000 10.409" Properties=species:S:1:pos:R:3 comment="Pm3TmTl PBE relaxed" ef_mev_per_atom=-89 volume_a3_per_atom=31.6 pbc="T T T"
Pm 1.606 0.000 0.213
Pm 1.919 0.000 7.954
Pm 3.009 0.000 4.596
Pm 6.553 0.000 5.814
Pm 7.643 0.000 2.456
Pm 7.957 0.000 10.197
Tm -0.389 0.000 3.538
Tm 9.952 0.000 6.871
Tl 4.548 0.000 1.664
Tl 5.015 0.000 8.746



[5]
9
Lattice="7.167 0.000 0.000 -3.584 6.207 0.000 0.000 0.000 4.150" Properties=species:S:1:pos:R:3 comment="LaSm2Si6 PBE relaxed" volume_a3_per_atom=20.5 e_form_raw_ev_per_atom=-0.5937 pbc="T T T"
La 0.000 0.000 0.000
Sm 0.000 4.138 0.000
Sm 3.584 2.069 0.000
Si -1.205 2.087 2.075
Si -2.379 4.120 2.075
Si 2.410 0.000 2.075
Si 1.205 2.087 2.075
Si 4.758 0.000 2.075
Si 2.379 4.120 2.075



[6]
8
Lattice="8.937 0.000 0.000 0.000 3.132 0.000 -1.802 0.000 5.642" Properties=species:S:1:pos:R:3 comment="TcAs2Se PBE relaxed" volume_a3_per_atom=19.7 e_form_raw_ev_per_atom=-0.0305 pbc="T T T"
Tc 0.000 0.000 0.000
Tc 4.468 1.566 0.000
As 0.182 1.566 2.126
As 1.938 1.566 0.235
As 4.651 0.000 2.126
As 6.406 0.000 0.235
Se 2.276 0.000 3.683
Se 6.744 1.566 3.683



[7]
5
Lattice="5.526 0.000 0.000 0.000 5.526 0.000 0.000 0.000 5.071" Properties=species:S:1:pos:R:3 comment="FeHg2PtPb PBE relaxed" ef_mev_per_atom=1369 volume_a3_per_atom=31.0 pbc="T T T"
Fe 0.000 0.000 0.000
Hg 0.000 2.763 2.535
Hg 2.763 0.000 2.535
Pt 2.763 2.763 0.000
Pb 0.000 0.000 2.535



[8]
8
Lattice="3.284 1.896 5.942 -3.284 1.896 5.942 0.000 -3.792 5.942" Properties=species:S:1:pos:R:3 comment="MgNpCl6 PBE relaxed" volume_a3_per_atom=27.8 e_form_raw_ev_per_atom=-1.6689 pbc="T T T"
Mg 0.000 0.000 0.000
Np 0.000 0.000 8.913
Cl -2.132 0.162 7.396
Cl -1.206 -1.765 10.431
Cl 0.925 -1.927 7.396
Cl -0.925 1.927 10.431
Cl 1.206 1.765 7.396
Cl 2.132 -0.162 10.431



[9]
10
Lattice="-3.739 3.739 5.422 3.739 -3.739 5.422 3.739 3.739 -5.422" Properties=species:S:1:pos:R:3 comment="Cs2TcCl6F PBE relaxed" volume_a3_per_atom=30.3 e_form_raw_ev_per_atom=-1.2152 pbc="T T T"
Cs 3.739 0.000 2.711
Cs 0.000 3.739 2.711
Tc 0.000 0.000 0.000
Cl 0.000 0.000 2.362
Cl 1.669 1.669 0.000
Cl 2.070 -2.070 5.422
Cl -2.070 2.070 5.422
Cl 2.070 2.070 5.422
Cl 0.000 0.000 8.481
F 0.000 0.000 5.422



[10]
12
Lattice="3.293 0.000 0.000 -1.647 2.852 0.000 0.000 0.000 26.890" Properties=species:S:1:pos:R:3 comment="Hf2PaS PBE relaxed" volume_a3_per_atom=21.0 e_form_raw_ev_per_atom=-0.5859 pbc="T T T"
Hf 0.000 0.000 0.000
Hf 0.000 0.000 5.347
Hf 0.000 1.901 17.926
Hf 0.000 1.901 23.274
Hf 1.647 0.951 8.963
Hf 1.647 0.951 14.311
Pa 0.000 0.000 11.621
Pa 0.000 1.901 2.657
Pa 1.647 0.951 20.584
S 0.000 0.000 16.133
S 0.000 1.901 7.170
S 1.647 0.951 25.096



[11]
5
Lattice="5.107 0.000 0.000 0.000 5.107 0.000 0.000 0.000 4.551" Properties=species:S:1:pos:R:3 comment="La2MgCdO PBE relaxed" volume_a3_per_atom=23.7 e_form_raw_ev_per_atom=-1.1968 pbc="T T T"
La 0.000 2.553 0.000
La 2.553 0.000 0.000
Mg 0.000 0.000 2.275
Cd 2.553 2.553 2.275
O 0.000 0.000 0.000



[12]
5
Lattice="6.056 0.000 0.000 0.000 6.056 0.000 0.000 0.000 6.082" Properties=species:S:1:pos:R:3 comment="RbAsSeBr2 PBE relaxed" volume_a3_per_atom=44.6 e_form_raw_ev_per_atom=0.7771 pbc="T T T"
Rb 0.000 0.000 0.000
As 3.028 3.028 3.041
Se 0.000 0.000 3.041
Br 0.000 3.028 0.000
Br 3.028 0.000 0.000



Number 1: VASP energy -4.4486 eV per atom. Number 2: VASP energy -3.4286 eV per atom. Number 3: VASP energy -4.0885 eV per atom. Number 4: VASP energy -4.3072 eV per atom. Number 5: VASP energy -5.8052 eV per atom. Number 6: VASP energy -5.8179 eV per atom. Number 7: VASP energy -2.3944 eV per atom. Number 8: VASP energy -4.8708 eV per atom. Number 9: VASP energy -3.7176 eV per atom. Number 10: VASP energy -8.9685 eV per atom. Number 11: VASP energy -4.6614 eV per atom. Number 12: VASP energy -1.7123 eV per atom.